1.
First-principles (PBE) data for an optimized crystal structure of CoAg, as listed in OQMD.

POSCAR file:
```
CoAg
1.0
-0.3309 -2.6606 -0.5429
0.2729 0.8443 2.5876
-17.6536 1.9452 1.2273
Co Ag
4 4
direct
0.3333 0.6667 0.8046 Co
0.6667 0.3333 0.9071 Co
0.0000 0.0000 0.6952 Co
0.6667 0.3333 0.5927 Co
0.0000 0.0000 0.3214 Ag
0.3333 0.6667 0.4639 Ag
0.3333 0.6667 0.0360 Ag
0.6667 0.3333 0.1790 Ag
```

Calculated values
Raw total energy   -4.744 eV per atom
Total magnetization   6.9 μB/cell
SG   P3m1
Crystal system   trigonal

---

2.
First-principles (PBE) data for an optimized crystal structure of CoAg2, as listed in OQMD.

POSCAR file:
```
CoAg2
1.0
6.1882 0.0000 0.0000
0.0000 5.2146 0.0000
-1.9032 0.0000 6.0676
Co Ag
4 8
direct
0.3613 0.6261 0.0006 Co
0.6387 0.1261 0.4994 Co
0.3613 0.8739 0.5006 Co
0.6387 0.3739 0.9994 Co
0.9450 0.1136 0.2940 Ag
0.3194 0.3791 0.6153 Ag
0.9450 0.3864 0.7940 Ag
0.3194 0.1209 0.1153 Ag
0.0550 0.6136 0.2060 Ag
0.6806 0.6209 0.3847 Ag
0.6806 0.8791 0.8847 Ag
0.0550 0.8864 0.7060 Ag
```

Calculated values
Raw total energy   -3.795 eV per atom
Total magnetization   7.2 μB/cell
SG   P2_1/c
Polymorph energy (0 for the lowest one)   0.05 eV/f.u.
Crystal system   monoclinic

---

3.
First-principles (PBE) data for an optimized crystal structure of CoAg, as listed in OQMD.

POSCAR file:
```
CoAg
1.0
-1.6265 -1.9942 -0.8536
1.9447 -0.5204 1.8160
-2.8938 0.9208 3.3628
Ag Co
1 1
direct
0.6667 0.3333 0.7500 Ag
0.3333 0.6667 0.2500 Co
```

Calculated values
Raw total energy   -4.326 eV per atom
Total magnetization   0.0 μB/cell
SG   P-6m2
Crystal system   hexagonal

---

4.
First-principles (PBE) data for an optimized crystal structure of CoAg, as listed in OQMD.

POSCAR file:
```
CoAg
1.0
-2.2136 3.4284 -0.6402
0.4597 -2.7594 -3.0395
-4.2166 -2.4297 1.5680
Ag Co
2 2
direct
0.0000 0.0000 0.9380 Ag
0.3333 0.6667 0.4385 Ag
0.0000 0.0000 0.4365 Co
0.3333 0.6667 0.9370 Co
```

Calculated values
Raw total energy   -3.566 eV per atom
Total magnetization   3.8 μB/cell
SG   P6_3mc
Crystal system   hexagonal

---

5.
First-principles (PBE) data for an optimized crystal structure of CoAg2, as listed in OQMD.

POSCAR file:
```
CoAg2
1.0
0.0000 3.7495 3.7495
3.7495 0.0000 3.7495
3.7495 3.7495 0.0000
Ag Co
4 2
direct
0.6250 0.6250 0.1250 Ag
0.6250 0.6250 0.6250 Ag
0.1250 0.6250 0.6250 Ag
0.6250 0.1250 0.6250 Ag
0.0000 0.0000 0.0000 Co
0.2500 0.2500 0.2500 Co
```

Calculated values
Raw total energy   -3.336 eV per atom
Total magnetization   0.0 μB/cell
SG   Fd-3m
Polymorph energy (0 for the lowest one)   1.43 eV/f.u.
Crystal system   cubic

---

6.
First-principles (PBE) data for an optimized crystal structure of CoAg2, as listed in OQMD.

POSCAR file:
```
CoAg2
1.0
-5.5490 -0.8890 1.4916
1.5098 -0.0031 5.6149
-0.5411 3.6251 0.1475
Ag Co
4 2
direct
0.7014 0.7014 0.0000 Ag
0.2014 0.7986 0.5000 Ag
0.7986 0.2014 0.5000 Ag
0.2986 0.2986 0.0000 Ag
0.5000 0.5000 0.5000 Co
0.0000 0.0000 0.0000 Co
```

Calculated values
Raw total energy   -3.219 eV per atom
Total magnetization   3.3 μB/cell
SG   P4_2/mnm
Polymorph energy (0 for the lowest one)   1.78 eV/f.u.
Crystal system   tetragonal

---

7.
First-principles (PBE) data for an optimized crystal structure of CsCoAg, as listed in OQMD.

POSCAR file:
```
CsCoAg
1.0
0.0000 4.2106 4.2106
4.2106 0.0000 4.2106
4.2106 4.2106 0.0000
Cs Ag Co
1 1 1
direct
0.0000 0.0000 0.0000 Cs
0.2500 0.2500 0.2500 Ag
0.7500 0.7500 0.7500 Co
```

Calculated values
Raw total energy   -1.960 eV per atom
Total magnetization   2.8 μB/cell
SG   F-43m
Polymorph energy (0 for the lowest one)   1.24 eV/f.u.
Crystal system   cubic

---

8.
First-principles (PBE) data for an optimized crystal structure of CsCoAg, as listed in OQMD.

POSCAR file:
```
CsCoAg
1.0
0.0000 3.6662 3.6662
3.6662 0.0000 3.6662
3.6662 3.6662 0.0000
Co Cs Ag
1 1 1
direct
0.0000 0.0000 0.0000 Co
0.7500 0.7500 0.7500 Cs
0.2500 0.2500 0.2500 Ag
```

Calculated values
Raw total energy   -2.372 eV per atom
Total magnetization   2.1 μB/cell
SG   F-43m
Polymorph energy (0 for the lowest one)   0.00 eV/f.u.
Crystal system   cubic